# VFePb2F

An optimized crystal structure of VFePb2F (GGA+U, Alexandria via LeMat-Bulk). Values from VASP.

Values from the calculation:
Its density is 6342 kg/m³. Its space-group type is P4/mmm. The total DFT energy (no corrections) is -0.2870 Ry per atom.

Cell and atoms, written as Quantum ESPRESSO input:
```
&SYSTEM
  ibrav = 0, nat = 5, ntyp = 4
/
ATOMIC_SPECIES
V 50.94 V.upf
Fe 55.84 Fe.upf
Pb 207.20 Pb.upf
F 19.00 F.upf
CELL_PARAMETERS angstrom
5.387 0.000 0.000
0.000 5.387 0.000
0.000 0.000 4.873
ATOMIC_POSITIONS crystal
V 0.000 0.000 0.000
Fe 0.000 0.000 0.500
Pb 0.000 0.500 0.000
Pb 0.500 0.000 0.000
F 0.500 0.500 0.500
```